# 1
12
Lattice="3.582 -6.199 0.000 3.582 6.199 0.000 -2.382 0.000 6.730" Properties=species:S:1:pos:R:3 comment="PBE DyPu5As6, relaxed" ef_kcal_per_mol_atoms=-24.792 space_group="C2/m (12)" m_tot_mub_per_cell=5.114 pbc="T T T"
Dy 0.000 0.000 0.000
Pu 2.391 4.138 3.365
Pu 3.582 2.067 0.000
Pu 2.391 0.000 3.365
Pu 3.582 -2.067 0.000
Pu 2.391 -4.138 3.365
As 1.200 2.074 1.682
As 0.012 0.000 5.046
As 1.200 -2.074 1.682
As 3.582 2.074 5.048
As 4.769 0.000 1.684
As 3.582 -2.074 5.048

***

# 2
8
Lattice="3.063 0.000 0.000 0.000 4.459 0.000 0.000 0.000 8.265" Properties=species:S:1:pos:R:3 comment="PBE ZrMn2Cr, relaxed" ef_kcal_per_mol_atoms=4.951 space_group="Immm (71)" m_tot_mub_per_cell=3.490 polymorph_energy_ev_per_fu=0.663 pbc="T T T"
Zr 0.000 0.000 0.000
Zr 1.532 2.230 4.133
Mn 0.000 2.230 1.906
Mn 0.000 2.230 6.359
Mn 1.532 0.000 2.226
Mn 1.532 0.000 6.039
Cr 0.000 0.000 4.133
Cr 1.532 2.230 0.000

***

# 3
8
Lattice="6.556 0.000 0.000 0.000 10.343 0.000 -0.121 0.000 3.323" Properties=species:S:1:pos:R:3 comment="PBE BaRePb2, relaxed" ef_kcal_per_mol_atoms=20.947 space_group="C2/m (12)" m_tot_mub_per_cell=4.211 polymorph_energy_ev_per_fu=1.965 pbc="T T T"
Ba 0.000 0.000 0.000
Ba 3.278 5.172 0.000
Re 0.000 5.172 0.000
Re 3.278 0.000 0.000
Pb 1.579 2.586 1.662
Pb 1.579 7.757 1.662
Pb 4.856 2.586 1.662
Pb 4.856 7.757 1.662

***

# 4
12
Lattice="5.682 0.000 0.000 0.000 5.682 0.000 0.000 0.000 5.682" Properties=species:S:1:pos:R:3 comment="PBE AlGaNi, relaxed" ef_kcal_per_mol_atoms=-8.831 space_group="F-43m (216)" m_tot_mub_per_cell=0.000 pbc="T T T"
Al 0.000 0.000 0.000
Al 0.000 2.841 2.841
Al 2.841 0.000 2.841
Al 2.841 2.841 0.000
Ga 0.000 0.000 2.841
Ga 0.000 2.841 0.000
Ga 2.841 0.000 0.000
Ga 2.841 2.841 2.841
Ni 1.421 1.421 4.262
Ni 1.421 4.262 1.421
Ni 4.262 1.421 1.421
Ni 4.262 4.262 4.262

***

# 5
16
Lattice="8.445 0.000 0.000 0.000 12.057 0.000 0.000 0.000 4.311" Properties=species:S:1:pos:R:3 comment="PBE AcTh3Se4, relaxed" space_group="Cmmm (65)" formation_energy_uncorrected_ev_per_fu=-12.75 m_tot_mub_per_cell=0.000 pbc="T T T"
Ac 0.000 0.000 0.000
Ac 4.223 6.029 0.000
Th 0.000 6.029 0.000
Th 2.111 3.014 2.155
Th 2.111 9.043 2.155
Th 4.223 0.000 0.000
Th 6.334 3.014 2.155
Th 6.334 9.043 2.155
Se 0.000 3.069 0.000
Se 0.000 8.988 0.000
Se 2.033 6.029 2.155
Se 2.189 0.000 2.155
Se 4.223 2.959 0.000
Se 4.223 9.098 0.000
Se 6.256 0.000 2.155
Se 6.412 6.029 2.155

***

# 6
5
Lattice="5.230 0.000 0.000 0.000 5.230 0.000 0.000 0.000 3.634" Properties=species:S:1:pos:R:3 comment="PBE CuPtSe2N, relaxed" space_group="P4/mmm (123)" formation_energy_uncorrected_ev_per_fu=3.89 m_tot_mub_per_cell=0.000 polymorph_energy_ev_per_fu=0.000 pbc="T T T"
Cu 0.000 0.000 0.000
Pt 2.615 2.615 1.817
Se 0.000 2.615 1.817
Se 2.615 0.000 1.817
N 2.615 2.615 0.000

***

# 7
20
Lattice="-5.570 5.570 5.570 5.570 -5.570 5.570 5.570 5.570 -5.570" Properties=species:S:1:pos:R:3 comment="PBE Cs4TlAg3Br12, relaxed" space_group="Im-3m (229)" formation_energy_uncorrected_ev_per_fu=-19.07 m_tot_mub_per_cell=0.000 pbc="T T T"
Cs 2.785 2.785 -2.785
Cs 2.785 -2.785 2.785
Cs -2.785 2.785 2.785
Cs 2.785 2.785 2.785
Tl 0.000 0.000 0.000
Ag 5.570 0.000 0.000
Ag 0.000 5.570 0.000
Ag 0.000 0.000 5.570
Br 2.801 0.000 0.000
Br 8.339 0.000 0.000
Br 5.570 2.785 0.000
Br 5.570 0.000 2.785
Br 0.000 2.801 0.000
Br 0.000 0.000 2.801
Br 2.785 5.570 0.000
Br 2.785 0.000 5.570
Br 0.000 8.339 0.000
Br 0.000 0.000 8.339
Br 0.000 5.570 2.785
Br 0.000 2.785 5.570

***

# 8
16
Lattice="6.788 0.000 0.000 0.000 6.788 0.000 0.000 0.000 6.788" Properties=species:S:1:pos:R:3 comment="PBE YCdNiAu, relaxed" ef_kcal_per_mol_atoms=-9.223 space_group="F-43m (216)" m_tot_mub_per_cell=0.000 pbc="T T T"
Y 0.000 0.000 0.000
Y 0.000 3.394 3.394
Y 3.394 0.000 3.394
Y 3.394 3.394 0.000
Cd 0.000 0.000 3.394
Cd 0.000 3.394 0.000
Cd 3.394 0.000 0.000
Cd 3.394 3.394 3.394
Ni 1.697 1.697 5.091
Ni 1.697 5.091 1.697
Ni 5.091 1.697 1.697
Ni 5.091 5.091 5.091
Au 1.697 1.697 1.697
Au 1.697 5.091 5.091
Au 5.091 1.697 5.091
Au 5.091 5.091 1.697

***

Q: What is the formula in the fourth record?
A: AlGaNi